# K2TeW3O12

Crystalline K2TeW3O12 at its relaxed geometry (GGA+U, Alexandria via LeMat-Bulk).

Cell lengths 12.0223, 7.4060, 12.8541 Å; angles 90.00, 90.00, 90.00 degrees
Closest atoms and distances in Å follow each position.
Positions (direct):
K (0.0458, 0.2500, 0.0822)  7 O 2.82-3.15
K (0.0603, 0.7500, 0.6191)  4 O 2.62-2.85
K (0.4397, 0.2500, 0.1191)  4 O 2.62-2.85
K (0.4542, 0.7500, 0.5822)  7 O 2.82-3.15
K (0.5458, 0.2500, 0.4178)  7 O 2.82-3.15
K (0.5603, 0.7500, 0.8809)  4 O 2.62-2.85
K (0.9397, 0.2500, 0.3809)  4 O 2.62-2.85
K (0.9542, 0.7500, 0.9178)  7 O 2.82-3.15
Te (0.0074, 0.7500, 0.2015)  3 O 1.89-1.93
Te (0.4926, 0.2500, 0.7015)  3 O 1.89-1.93
Te (0.5074, 0.7500, 0.2985)  3 O 1.89-1.93
Te (0.9926, 0.2500, 0.7985)  3 O 1.89-1.93
W (0.2056, 0.2500, 0.5766)  5 O 1.78-1.97
W (0.2447, 0.5040, 0.8268)  5 O 1.80-1.99
W (0.2447, 0.9960, 0.8268)  5 O 1.80-1.99
W (0.2553, 0.0040, 0.3268)  5 O 1.80-1.99
W (0.2553, 0.4960, 0.3268)  5 O 1.80-1.99
W (0.2944, 0.7500, 0.0766)  5 O 1.78-1.97
W (0.7056, 0.2500, 0.9234)  5 O 1.78-1.97
W (0.7447, 0.5040, 0.6732)  5 O 1.80-1.99
W (0.7447, 0.9960, 0.6732)  5 O 1.80-1.99
W (0.7553, 0.0040, 0.1732)  5 O 1.80-1.99
W (0.7553, 0.4960, 0.1732)  5 O 1.80-1.99
W (0.7944, 0.7500, 0.4234)  5 O 1.78-1.97
O (0.0604, 0.2500, 0.5504)  1 W 1.78
O (0.0774, 0.0611, 0.8649)  1 Te 1.93, 1 W 2.13
O (0.0774, 0.4389, 0.8649)  1 Te 1.93, 1 W 2.13
O (0.1149, 0.0497, 0.2860)  1 W 1.80
O (0.1149, 0.4503, 0.2860)  1 W 1.80
O (0.1181, 0.7500, 0.0973)  1 Te 1.89
O (0.1899, 0.7500, 0.8005)  2 W 1.97
O (0.1976, 0.0654, 0.6840)  2 W 1.94-1.99
O (0.1976, 0.4346, 0.6840)  2 W 1.94-1.99
O (0.2253, 0.7500, 0.3534)  2 W 1.95
O (0.2392, 0.0641, 0.4714)  2 W 1.92-1.97
O (0.2392, 0.4359, 0.4714)  2 W 1.92-1.97
O (0.2608, 0.5641, 0.9714)  2 W 1.92-1.97
O (0.2608, 0.9359, 0.9714)  2 W 1.92-1.97
O (0.2747, 0.2500, 0.8534)  2 W 1.95
O (0.3024, 0.5654, 0.1840)  2 W 1.94-1.99
O (0.3024, 0.9346, 0.1840)  2 W 1.94-1.99
O (0.3101, 0.2500, 0.3005)  2 W 1.97
O (0.3819, 0.2500, 0.5973)  1 Te 1.89
O (0.3851, 0.5497, 0.7860)  1 W 1.80
O (0.3851, 0.9503, 0.7860)  1 W 1.80
O (0.4226, 0.5611, 0.3649)  1 Te 1.93, 1 W 2.13
O (0.4226, 0.9389, 0.3649)  1 Te 1.93, 1 W 2.13
O (0.4396, 0.7500, 0.0504)  1 W 1.78
O (0.5604, 0.2500, 0.9496)  1 W 1.78
O (0.5774, 0.0611, 0.6351)  1 Te 1.93, 1 W 2.13
O (0.5774, 0.4389, 0.6351)  1 Te 1.93, 1 W 2.13
O (0.6149, 0.0497, 0.2140)  1 W 1.80
O (0.6149, 0.4503, 0.2140)  1 W 1.80
O (0.6181, 0.7500, 0.4027)  1 Te 1.89
O (0.6899, 0.7500, 0.6995)  2 W 1.97
O (0.6976, 0.0654, 0.8160)  2 W 1.94-1.99
O (0.6976, 0.4346, 0.8160)  2 W 1.94-1.99
O (0.7253, 0.7500, 0.1466)  2 W 1.95
O (0.7392, 0.0641, 0.0286)  2 W 1.92-1.97
O (0.7392, 0.4359, 0.0286)  2 W 1.92-1.97
O (0.7608, 0.5641, 0.5286)  2 W 1.92-1.97
O (0.7608, 0.9359, 0.5286)  2 W 1.92-1.97
O (0.7747, 0.2500, 0.6466)  2 W 1.95
O (0.8024, 0.5654, 0.3160)  2 W 1.94-1.99
O (0.8024, 0.9346, 0.3160)  2 W 1.94-1.99
O (0.8101, 0.2500, 0.1995)  2 W 1.97
O (0.8819, 0.2500, 0.9027)  1 Te 1.89
O (0.8851, 0.5497, 0.7140)  1 W 1.80
O (0.8851, 0.9503, 0.7140)  1 W 1.80
O (0.9226, 0.5611, 0.1351)  1 Te 1.93, 1 W 2.13
O (0.9226, 0.9389, 0.1351)  1 Te 1.93, 1 W 2.13
O (0.9396, 0.7500, 0.4496)  1 W 1.78

Summary:
Calculated volume in Å³/atom: 15.9
Theoretical density in g/cm³: 5.51
Total energy in eV for the cell shown: -482.9